Density functional theory data (PBE with a Hubbard U) for crystalline V2PbO4 at its relaxed geometry.

- N(E_F) (states/eV/f.u.) = 0.128
- crystal system = tetragonal
- E above lowest polymorph (meV/atom) = 295.6

Cell lengths 7.2423, 7.2423, 5.6671 Å; angles 90.00, 90.00, 90.00 degrees
With the nearest neighbours (Å) after each atom.
Space group I4/m (No. 87)
Asymmetric unit:
V 0.0000 0.5000 0.2500 [4 per cell]  4 O 1.94
Pb 0.0000 0.0000 0.0000 [2 per cell]  4 O 2.45
O 0.0694 0.6690 0.0000 [8 per cell]  2 V 1.94